1.
## Ce3SmDy2As6 (PBE-GGA)

Data for crystalline Ce3SmDy2As6 at its relaxed geometry.

Properties
Spin magnetization (μB/atom): 0.159
Energy of formation (eV per atom): -1.481
Space-group type: C2/m

```
12
Lattice="3.625 -6.278 0.000 3.625 6.278 0.000 -2.418 0.000 6.823" Properties=species:S:1:pos:R:3 pbc="T T T"
Ce 0.000 0.000 0.000
Ce 3.625 2.082 0.000
Ce 3.625 -2.082 0.000
Sm 2.416 0.000 3.412
Dy 2.416 4.182 3.412
Dy 2.416 -4.182 3.412
As 1.195 2.113 1.718
As -0.026 0.000 5.099
As 1.195 -2.113 1.718
As 3.636 2.113 5.105
As 4.858 0.000 1.724
As 3.636 -2.113 5.105
```

---

2.
## Ac3Sn (PBE-GGA)

Data for crystalline Ac3Sn at its relaxed geometry.

Properties
Spin magnetization (μB/atom): 0.000
Energy of formation (eV per atom): -0.298
Space-group type: I4/mmm

```
4
Lattice="-2.614 2.614 5.541 2.614 -2.614 5.541 2.614 2.614 -5.541" Properties=species:S:1:pos:R:3 pbc="T T T"
Ac 0.000 0.000 0.000
Ac 2.614 0.000 2.771
Ac 0.000 2.614 2.771
Sn 0.000 0.000 5.541
```

---

3.
## CuBSeN2 (PBE-GGA)

Data for crystalline CuBSeN2 at its relaxed geometry.

Properties
Spin magnetization (μB/atom): 0.058
Raw formation energy (eV per atom): 1.047
Space-group type: P4/mmm

```
5
Lattice="3.198 0.000 0.000 0.000 3.198 0.000 0.000 0.000 7.620" Properties=species:S:1:pos:R:3 pbc="T T T"
Cu 0.000 0.000 0.000
B 1.599 1.599 3.810
Se 1.599 1.599 0.000
N 0.000 1.599 3.810
N 1.599 0.000 3.810
```